Version one
A PBEsol-optimized structure of Li10SnP2Se12. Source: the Alexandria database, functional meta-GGA SCAN.

a b c (Å): 9.1570 9.1570 13.1815
angles (deg): 90.00 90.00 90.00
Space group P4_2mc (No. 105)
Symmetry-distinct sites (fractional):
Li 0.0000 0.0000 0.0000 x2
Li 0.2120 0.2750 0.3267 x8
Li 0.2584 0.2664 0.0733 x8
Li 0.5000 0.5000 0.0895 x2
Sn 0.5000 0.5000 0.3450 x2
P 0.0000 0.0000 0.2455 x2
P 0.0000 0.5000 0.5567 x2
Se 0.0000 0.1993 0.8397 x4
Se 0.0000 0.2044 0.1534 x4
Se 0.0000 0.2983 0.4611 x4
Se 0.1967 0.5000 0.6524 x4
Se 0.2709 0.5000 0.9525 x4
Se 0.2775 0.5000 0.2308 x4

Calculated values
Magnetization, μB per atom: 0.000



Version two
A PBEsol-optimized structure of Li10SnP2Se12. Source: the Alexandria database, functional meta-GGA SCAN.

a b c (Å): 8.7648 9.4117 13.4591
angles (deg): 93.09 90.35 90.05
Space group P1 (No. 1)
Symmetry-distinct sites (fractional):
Li 0.0000 0.0000 0.0000 x1
Li 0.0001 0.4928 0.3249 x1
Li 0.0240 0.9868 0.2675 x1
Li 0.2008 0.3055 0.0661 x1
Li 0.2266 0.2991 0.5961 x1
Li 0.4554 0.5961 0.4094 x1
Li 0.4657 0.0044 0.0046 x1
Li 0.4742 0.9818 0.2718 x1
Li 0.4767 0.0518 0.5479 x1
Li 0.4824 0.4887 0.1168 x1
Li 0.4828 0.5358 0.8907 x1
Li 0.4839 0.5526 0.6560 x1
Li 0.5105 0.0700 0.7926 x1
Li 0.6937 0.2913 0.3859 x1
Li 0.7373 0.7672 0.7011 x1
Li 0.7417 0.7375 0.1826 x1
Li 0.9688 0.0530 0.5113 x1
Li 0.9724 0.0429 0.7727 x1
Li 0.9861 0.5498 0.6530 x1
Li 0.9883 0.5290 0.9105 x1
Sn 0.2333 0.2668 0.8272 x1
Sn 0.7534 0.7764 0.4612 x1
P 0.2330 0.7374 0.1464 x1
P 0.2518 0.2546 0.3232 x1
P 0.7294 0.7939 0.9529 x1
P 0.7306 0.3095 0.6292 x1
Se 0.0283 0.7149 0.2373 x1
Se 0.0478 0.2610 0.2245 x1
Se 0.2271 0.4408 0.4308 x1
Se 0.2337 0.9617 0.1041 x1
Se 0.2348 0.5073 0.7499 x1
Se 0.2441 0.5725 0.0214 x1
Se 0.2455 0.0644 0.6953 x1
Se 0.2472 0.0527 0.4020 x1
Se 0.4445 0.7043 0.2364 x1
Se 0.4630 0.2564 0.9419 x1
Se 0.4662 0.2613 0.2365 x1
Se 0.5056 0.7769 0.5603 x1
Se 0.5197 0.3358 0.5375 x1
Se 0.5248 0.8150 0.8562 x1
Se 0.7257 0.5651 0.3355 x1
Se 0.7293 0.0874 0.6753 x1
Se 0.7302 0.5778 0.0114 x1
Se 0.7329 0.9622 0.0749 x1
Se 0.7353 0.4810 0.7500 x1
Se 0.7534 0.0000 0.3618 x1
Se 0.9336 0.3358 0.5322 x1
Se 0.9393 0.8015 0.8614 x1
Se 0.9786 0.7903 0.5776 x1
Se 0.9910 0.2433 0.9245 x1

Calculated values
Magnetization, μB per atom: 0.000



Least stable: version one



Version one
A PBEsol-optimized structure of LiTl2P. Source: the Alexandria database, functional meta-GGA SCAN.

a b c (Å): 4.1891 4.1891 18.6864
angles (deg): 90.00 90.00 120.00
Space group R3m (No. 160, hexagonal axes)
Symmetry-distinct sites (fractional):
Li 0.0000 0.0000 0.0000 x3
Tl 0.0000 0.0000 0.5666 x3
Tl 0.0000 0.0000 0.7656 x3
P 0.0000 0.0000 0.3342 x3

Calculated values
Magnetization, μB per atom: 0.000



Version two
A PBEsol-optimized structure of LiTl2P. Source: the Alexandria database, functional meta-GGA SCAN.

a b c (Å): 7.1408 7.1408 7.1408
angles (deg): 90.00 90.00 90.00
Space group F-43m (No. 216)
Symmetry-distinct sites (fractional):
Li 0.0000 0.0000 0.0000 x4
Tl 0.0000 0.0000 0.5000 x4
Tl 0.2500 0.2500 0.2500 x4
P 0.2500 0.2500 0.7500 x4

Calculated values
Magnetization, μB per atom: 0.000



Least stable: version two